Entry 1:
Entry from Alexandria via LeMat-Bulk: LaNF2 after structural relaxation (GGA-PBE).

Properties
M_tot, μB per cell: 4.00
Crystal system: monoclinic
Mass density, g/cm3: 3.99
V, A^3/atom: 19.843
N(E_F), states/eV/cell: 0.64
Energy above the lowest structure with this stoichiometry, meV per atom: 0
Formation energy (no corrections), eV/atom: -2.129
Uncorrected energy, eV per atom: -6.38

```
LaNF2
1.0
5.154 0.000 0.000
0.000 4.218 0.000
-0.015 0.000 7.302
La N F
2 2 4
Cartesian
0.024 1.055 1.823
5.115 3.164 5.478
2.539 3.164 5.419
2.600 1.055 1.883
0.480 1.055 4.279
0.560 3.164 0.590
4.580 1.055 6.712
4.660 3.164 3.023
```

Entry 2:
Entry from Alexandria via LeMat-Bulk: Er3RuN after structural relaxation (GGA-PBE).

Properties
M_tot, μB per cell: 0.00
Crystal system: cubic
Mass density, g/cm3: 10.23
V, A^3/atom: 20.017
N(E_F), states/eV/cell: 2.86
Formation energy (no corrections), eV/atom: -0.716
Uncorrected energy, eV per atom: -6.97

```
Er3RuN
1.0
4.643 0.000 0.000
0.000 4.643 0.000
0.000 0.000 4.643
Er Ru N
3 1 1
Cartesian
0.000 0.000 2.321
0.000 2.321 0.000
2.321 0.000 0.000
2.321 2.321 2.321
0.000 0.000 0.000
```

Entry 3:
Entry from Alexandria via LeMat-Bulk: HoTlCuS2 after structural relaxation (GGA-PBE).

Properties
M_tot, μB per cell: 0.00
Crystal system: monoclinic
Mass density, g/cm3: 6.34
V, A^3/atom: 26.031
N(E_F), states/eV/cell: 3.27
Formation energy (no corrections), eV/atom: -0.822
Uncorrected energy, eV per atom: -4.68

```
HoTlCuS2
1.0
6.327 0.000 0.000
0.000 5.760 0.000
-1.971 0.000 7.143
Ho Tl Cu S
2 2 2 4
Cartesian
-0.493 0.128 1.786
-1.478 5.633 5.357
2.671 1.732 1.786
1.685 4.028 5.357
0.000 2.880 0.000
-0.985 2.880 3.571
0.374 1.238 4.050
1.360 4.522 0.479
2.996 1.238 6.664
3.981 4.522 3.093
```

Entry 4:
Entry from Alexandria via LeMat-Bulk: KBa2Os after structural relaxation (GGA-PBE).

Properties
M_tot, μB per cell: 0.00
Crystal system: orthorhombic
DFT formation energy, eV per atom: 0.545
Mass density, g/cm3: 4.92
V, A^3/atom: 42.552
N(E_F), states/eV/cell: 3.86
Energy above the lowest structure with this stoichiometry, meV per atom: 0
Uncorrected energy, eV per atom: -3.50

```
KBa2Os
1.0
2.691 -2.715 0.000
2.691 2.715 0.000
0.000 0.000 11.648
K Ba Os
1 2 1
Cartesian
0.000 0.000 0.000
2.691 0.000 4.003
2.691 0.000 7.645
0.000 0.000 5.824
```

What is the V in the second record? 20.017 A^3/atom